Entry from the Alexandria database: a relaxed SrPuTlGa crystal (PBE).

Results
**Electronic total energy**: -88.03 eV/cell

a b c (Å): 7.745 7.745 7.745
angles (deg): 90.00 90.00 90.00
Space group F-43m (No. 216)
Inequivalent atoms, fractional coordinates:
Sr1 0.000 0.000 0.000 x4
Pu1 0.000 0.000 0.500 x4
Tl1 0.250 0.250 0.250 x4
Ga1 0.250 0.250 0.750 x4

---

Entry from the Alexandria database: a relaxed K4AlP crystal (PBE).

Results
**Distance to the lowest polymorph of the same formula**: 0 meV/atom

a b c (Å): 9.692 9.692 9.692
angles (deg): 90.00 90.00 90.00
Space group F-43m (No. 216)
Inequivalent atoms, fractional coordinates:
K1 0.123 0.123 0.123 x16
Al1 0.000 0.000 0.500 x4
P1 0.250 0.250 0.750 x4

---

Entry from the Alexandria database: a relaxed Er3AgPt crystal (PBE).

Results
**Distance to the lowest polymorph of the same formula**: 30 meV/atom

a b c (Å): 4.222 7.052 8.776
angles (deg): 90.00 90.00 90.00
Space group Pmmn (No. 59, origin choice 2)
Inequivalent atoms, fractional coordinates:
Er1 0.250 0.003 0.168 x4
Er2 0.250 0.250 0.564 x2
Ag1 0.250 0.750 0.668 x2
Pt1 0.250 0.250 0.902 x2

---

Entry from the Alexandria database: a relaxed NbAlGe crystal (PBE).

Results
**Electronic total energy**: -35.18 eV/cell

a b c (Å): 2.858 2.858 14.264
angles (deg): 90.00 90.00 90.00
Space group I4mm (No. 107)
Inequivalent atoms, fractional coordinates:
Nb1 0.000 0.000 0.000 x2
Al1 0.000 0.000 0.813 x2
Ge1 0.000 0.000 0.635 x2

---

Entry from the Alexandria database: a relaxed Nd4SmAu5 crystal (PBE).

Results
**Electronic total energy**: -47.89 eV/cell

a b c (Å): 3.687 3.687 18.776
angles (deg): 90.00 90.00 90.00
Space group P4/mmm (No. 123)
Inequivalent atoms, fractional coordinates:
Nd1 0.000 0.000 0.100 x2
Nd2 0.000 0.000 0.301 x2
Sm1 0.000 0.000 0.500 x1
Au1 0.500 0.500 0.000 x1
Au2 0.500 0.500 0.201 x2
Au3 0.500 0.500 0.404 x2

---

Entry from the Alexandria database: a relaxed Tm2Fe17H3 crystal (PBE).

Results
**Electronic total energy**: -329.04 eV/cell

a b c (Å): 8.4835 8.4835 8.1852
angles (deg): 90.00 90.00 120.00
Space group P6_3/mmc (No. 194)
Inequivalent atoms, fractional coordinates:
Tm1 0.0000 0.0000 0.2500 x2
Tm2 0.3333 0.6667 0.2500 x2
Fe1 0.0000 0.5000 0.0000 x6
Fe2 0.0467 0.3754 0.7500 x12
Fe3 0.1664 0.3328 0.0159 x12
Fe4 0.3333 0.6667 0.6053 x4
H1 0.1646 0.3292 0.2500 x6